1.
Compound: La2ZrN2O2
Source: the Alexandria database
Functional: GGA-PBE
Structure: relaxed

```
data_La2ZrN2O2
_chemical_formula_sum 'La2 Zr1 N2 O2'
_symmetry_space_group_name_H-M 'P 1'
_symmetry_Int_Tables_number 1
_symmetry_space_group_name_Hall 'P 1'
_cell_length_a 6.823
_cell_length_b 6.823
_cell_length_c 6.823
_cell_angle_alpha 143.29
_cell_angle_beta 143.29
_cell_angle_gamma 52.89
loop_
_atom_site_label
_atom_site_fract_x
_atom_site_fract_y
_atom_site_fract_z
_atom_site_occupancy
La1 0.135 0.135 0.000 1
La2 0.865 0.865 0.000 1
Zr1 0.500 0.500 0.000 1
N1 0.000 0.500 0.500 1
N2 0.500 0.000 0.500 1
O1 0.319 0.319 0.000 1
O2 0.681 0.681 0.000 1
```

Its space group is I4/mmm, No. 139. The uncorrected formation energy comes out at -2.284 eV/atom. The total DFT energy (no corrections) is -8.708 eV/atom.

---

2.
Compound: BaAg4Pb12
Source: the Alexandria database
Functional: GGA-PBE
Structure: relaxed

```
data_BaAg4Pb12
_chemical_formula_sum 'Ba1 Ag4 Pb12'
_symmetry_space_group_name_H-M 'P 1'
_symmetry_Int_Tables_number 1
_symmetry_space_group_name_Hall 'P 1'
_cell_length_a 8.834
_cell_length_b 8.834
_cell_length_c 8.834
_cell_angle_alpha 109.47
_cell_angle_beta 109.47
_cell_angle_gamma 109.47
loop_
_atom_site_label
_atom_site_fract_x
_atom_site_fract_y
_atom_site_fract_z
_atom_site_occupancy
Ba1 0.000 0.000 0.000 1
Ag1 0.000 0.000 0.500 1
Ag2 0.000 0.500 0.000 1
Ag3 0.500 0.000 0.000 1
Ag4 0.500 0.500 0.500 1
Pb1 0.160 0.508 0.348 1
Pb2 0.160 0.812 0.652 1
Pb3 0.188 0.348 0.840 1
Pb4 0.348 0.160 0.508 1
Pb5 0.348 0.840 0.188 1
Pb6 0.492 0.652 0.840 1
Pb7 0.508 0.348 0.160 1
Pb8 0.652 0.160 0.812 1
Pb9 0.652 0.840 0.492 1
Pb10 0.812 0.652 0.160 1
Pb11 0.840 0.188 0.348 1
Pb12 0.840 0.492 0.652 1
```

The value obtained for the energy of formation from the pure elements is 0.075 eV/atom. Its space group is Im-3, No. 204. The total DFT energy (no corrections) is -3.327 eV/atom. The calculation puts the density of states at the Fermi level at 16.0 states/eV/cell.